Below is an optimized crystal structure of RbInP2S, with properties calculated at the PBE level.

Values from the calculation:
- offset from the most stable computed form (meV per atom) = 0.0
- E_tot (eV per cell) = -16.7
- E_form (uncorrected) (eV/atom) = 0.396

a = 5.2263 Å, b = 5.2263 Å, c = 5.3592 Å
α = 90.00°, β = 90.00°, γ = 90.00°
Last column: nearest neighbours and their distance in Å.
Fractional coordinates of all 5 atoms:
S  0.0000  0.0000  0.5000  2 In 2.68
P  0.0000  0.5000  0.0000  2 In 2.61
P  0.5000  0.0000  0.0000  2 In 2.61
In  0.0000  0.0000  0.0000  4 P 2.61, 2 S 2.68
Rb  0.5000  0.5000  0.5000  4 S 3.70, 8 P 3.74